1.
Ce3NdSm2Sb6 PBE-GGA optimized geometry; raw formation energy = -1292 kJ/mol of formula units; space-group type = C2/m; electronic total energy = -5.84 eV per atom
1.0
-5.4936 5.3831 1.2021
-1.1659 -5.6504 -5.2265
-0.7656 -4.1235 6.5618
Ce Nd Sm Sb
3 1 2 6
direct
0.1660 0.8340 0.5000 Ce
0.8340 0.1660 0.5000 Ce
0.5000 0.5000 0.5000 Ce
0.0000 0.0000 0.0000 Nd
0.3331 0.6669 0.0000 Sm
0.6669 0.3331 0.0000 Sm
0.9162 0.5811 0.7489 Sb
0.7481 0.7481 0.2503 Sb
0.0838 0.4189 0.2511 Sb
0.5811 0.9162 0.7489 Sb
0.2519 0.2519 0.7497 Sb
0.4189 0.0838 0.2511 Sb

2.
CsPCl2F PBE-GGA optimized geometry; raw formation energy = -350 kJ/mol of formula units; space-group type = P4/mmm; excess energy over the best structure of this formula in the dataset = 0.000 eV/atom; electronic total energy = -3.09 eV per atom
1.0
6.0254 0.0000 0.0000
0.0000 6.0254 0.0000
0.0000 0.0000 3.7426
Cs P F Cl
1 1 1 2
direct
0.5000 0.5000 0.5000 Cs
0.0000 0.0000 0.5000 P
0.0000 0.0000 0.0000 F
0.0000 0.5000 0.0000 Cl
0.5000 0.0000 0.0000 Cl

3.
K2Rb4Na2Au PBE-GGA optimized geometry; space-group type = C2/m; electronic total energy = -1.38 eV per atom
1.0
-1.0019 -7.3439 1.9347
6.3999 -3.4877 -5.6155
8.4022 -1.3612 3.4938
K Rb Na Au
2 4 2 1
direct
0.2055 0.6446 0.6446 K
0.7945 0.3554 0.3554 K
0.2779 0.6553 0.1306 Rb
0.7221 0.8694 0.3447 Rb
0.7221 0.3447 0.8694 Rb
0.2779 0.1306 0.6553 Rb
0.2185 0.1493 0.1493 Na
0.7815 0.8507 0.8507 Na
0.5000 0.0000 0.0000 Au

4.
Tb7Dy2Er2 PBE-GGA optimized geometry; space-group type = Cmmm; excess energy over the best structure of this formula in the dataset = 0.204 eV/atom; electronic total energy = -4.25 eV per atom
1.0
-6.5369 0.5360 1.7576
-1.9051 -8.0163 -4.6408
4.5478 -3.2919 3.8195
Tb Dy Er
7 2 2
direct
0.0000 0.3150 0.5000 Tb
0.5000 0.6850 0.0000 Tb
0.0000 0.6850 0.5000 Tb
0.5000 0.3150 0.0000 Tb
0.0000 0.0000 0.0000 Tb
0.5000 0.8158 0.5000 Tb
0.5000 0.1842 0.5000 Tb
0.7503 0.5000 0.7503 Dy
0.2497 0.5000 0.2497 Dy
0.7273 0.0000 0.2727 Er
0.2727 0.0000 0.7273 Er

5.
Pr4PIrS2 PBE-GGA optimized geometry; raw formation energy = -1135 kJ/mol of formula units; space-group type = I4/mmm; electronic total energy = -6.68 eV per atom
1.0
5.8704 0.3197 0.0000
-0.3198 5.8704 0.0000
-2.7753 -3.0950 5.9186
Pr P Ir S
4 1 1 2
direct
0.9373 0.4369 0.0000 Pr
0.4369 0.9373 0.0000 Pr
0.1879 0.1879 0.5015 Pr
0.6865 0.6865 0.4985 Pr
0.4373 0.4373 0.0000 P
0.9370 0.9370 0.0000 Ir
0.1872 0.6872 0.5000 S
0.6872 0.1872 0.5000 S

6.
Dy8Ni2Pd PBE-GGA optimized geometry; space-group type = Cm; excess energy over the best structure of this formula in the dataset = 0.089 eV/atom; electronic total energy = -5.08 eV per atom
1.0
5.7245 0.1132 -0.9251
-1.8509 6.7208 -2.8966
-0.0270 -0.1681 7.5469
Dy Ni Pd
8 2 1
direct
0.5810 0.3420 0.0826 Dy
0.5810 0.0826 0.3420 Dy
0.1735 0.3732 0.3732 Dy
0.9900 0.2254 0.7803 Dy
0.9900 0.7803 0.2254 Dy
0.8085 0.6329 0.6329 Dy
0.3910 0.9227 0.6637 Dy
0.3910 0.6637 0.9227 Dy
0.4918 0.6996 0.3070 Ni
0.4918 0.3070 0.6996 Ni
0.1097 0.0045 0.0045 Pd

7.
TaIr2Br PBE-GGA optimized geometry; raw formation energy = 313 kJ/mol of formula units; space-group type = P4/mmm; excess energy over the best structure of this formula in the dataset = 0.861 eV/atom; electronic total energy = -7.00 eV per atom
1.0
-2.0208 0.9837 -3.2460
-3.5193 -1.0021 1.8872
-0.3537 3.8593 1.3898
Ir Br Ta
2 1 1
direct
0.0000 0.0000 0.0000 Ir
0.0000 0.5000 0.5000 Ir
0.5000 0.0000 0.5000 Br
0.5000 0.5000 0.0000 Ta

8.
TlRe2Pb PBE-GGA optimized geometry; space-group type = R-3m; excess energy over the best structure of this formula in the dataset = 0.822 eV/atom; electronic total energy = -6.48 eV per atom
1.0
9.2796 0.0100 0.0059
8.7568 3.0707 0.0059
8.7568 1.4957 2.6818
Pb Re Tl
1 2 1
direct
0.7500 0.7500 0.7500 Pb
0.0005 0.0005 0.0005 Re
0.4995 0.4995 0.4995 Re
0.2500 0.2500 0.2500 Tl

9.
Nd4CoAg3 PBE-GGA optimized geometry; space-group type = P4/mmm; electronic total energy = -4.52 eV per atom
1.0
3.6243 0.0000 0.0000
0.0000 3.6243 0.0000
0.0000 0.0000 15.2580
Co Nd Ag
1 4 3
direct
0.5000 0.5000 0.0000 Co
0.0000 0.0000 0.8903 Nd
0.0000 0.0000 0.1097 Nd
0.0000 0.0000 0.3709 Nd
0.0000 0.0000 0.6291 Nd
0.5000 0.5000 0.2423 Ag
0.5000 0.5000 0.5000 Ag
0.5000 0.5000 0.7577 Ag

10.
Pr4Nd5Sc2 PBE-GGA optimized geometry; space-group type = C2/m; excess energy over the best structure of this formula in the dataset = 0.000 eV/atom; electronic total energy = -4.95 eV per atom
1.0
3.4588 0.0000 -0.8437
-0.4060 8.5939 -1.6643
1.1089 1.4366 12.0569
Pr Nd Sc
4 5 2
direct
0.2740 0.1768 0.5480 Pr
0.9616 0.6507 0.9233 Pr
0.7260 0.8232 0.4520 Pr
0.0384 0.3493 0.0767 Pr
0.8192 0.5226 0.6383 Nd
0.1808 0.4774 0.3617 Nd
0.8706 0.9619 0.7412 Nd
0.5000 0.0000 0.0000 Nd
0.1294 0.0381 0.2588 Nd
0.4129 0.3026 0.8259 Sc
0.5871 0.6974 0.1741 Sc

11.
TaWN PBE-GGA optimized geometry; raw formation energy = -117 kJ/mol of formula units; space-group type = Cm; electronic total energy = -11.45 eV per atom
1.0
-4.3664 1.8295 -1.2190
-0.7943 -2.6463 -1.1264
-2.1317 -3.6497 10.0774
Ta W N
4 4 4
direct
0.3128 0.0000 0.9320 Ta
0.3128 0.5000 0.4320 Ta
0.2034 0.0000 0.1783 Ta
0.2034 0.5000 0.6783 Ta
0.7206 0.0000 0.6188 W
0.7206 0.5000 0.1188 W
0.7913 0.0000 0.3520 W
0.7913 0.5000 0.8520 W
0.4945 0.0000 0.7664 N
0.4945 0.5000 0.2664 N
0.0715 0.0000 0.5229 N
0.0715 0.5000 0.0229 N

12.
MgSiNO2 PBE-GGA optimized geometry; raw formation energy = 143 kJ/mol of formula units; space-group type = P4/mmm; electronic total energy = -4.76 eV per atom
1.0
3.8594 0.0000 0.0000
0.0000 3.8594 0.0000
0.0000 0.0000 4.1256
Si Mg O N
1 1 2 1
direct
0.5000 0.5000 0.5000 Si
0.0000 0.0000 0.0000 Mg
0.0000 0.5000 0.0000 O
0.5000 0.0000 0.0000 O
0.0000 0.0000 0.5000 N

Calculated size of the total moment, 2.3; 1.0; 0.0; 0.0; 0.0; 0.0; 0.0; 0.3; 0.8; 0.0; 0.0; 3.0 μB per cell (same order as the records).